No. 1
A plane-wave DFT calculation with PBE was carried out for a relaxed Y2GaRhBr crystal. Values from VASP.

Quantum ESPRESSO input file:
```
&SYSTEM
  ibrav = 0, nat = 5, ntyp = 4
/
ATOMIC_SPECIES
Br 79.90 Br.upf
Ga 69.72 Ga.upf
Y 88.91 Y.upf
Rh 102.91 Rh.upf
ATOMIC_POSITIONS angstrom
Br 0.000 0.000 0.000
Ga -2.133 -1.117 0.469
Y -0.313 1.494 2.133
Y 1.257 -1.795 1.441
Rh -1.189 -1.418 4.044
CELL_PARAMETERS angstrom
-0.626 2.987 4.267
-4.266 -2.233 0.938
2.514 -3.591 2.883
```

- Magnetic moment: 0.00 μB/f.u.
- Uncorrected formation energy: 328 meV per atom

No. 2
A plane-wave DFT calculation with PBE was carried out for a relaxed K2TlRu crystal. Values from VASP.

Quantum ESPRESSO input file:
```
&SYSTEM
  ibrav = 0, nat = 4, ntyp = 3
/
ATOMIC_SPECIES
Tl 204.38 Tl.upf
Ru 101.07 Ru.upf
K 39.10 K.upf
ATOMIC_POSITIONS angstrom
Tl 1.643 3.014 1.814
Ru 3.507 2.616 0.000
K 3.203 -0.458 1.804
K 0.216 0.161 0.000
CELL_PARAMETERS angstrom
6.253 0.029 -0.010
1.810 5.985 0.010
-3.524 -3.687 3.618
```

- Excess energy over the best structure of this formula in the dataset: 215 meV per atom
- Energy relative to the elements: 0.67 eV/atom
- Magnetic moment: 0.89 μB/f.u.

No. 3
A plane-wave DFT calculation with PBE was carried out for a relaxed PuAsRh3 crystal. Values from VASP.

Quantum ESPRESSO input file:
```
&SYSTEM
  ibrav = 0, nat = 10, ntyp = 3
/
ATOMIC_SPECIES
As 74.92 As.upf
Rh 102.91 Rh.upf
Pu 244.00 Pu.upf
ATOMIC_POSITIONS angstrom
As 7.825 5.410 4.142
As 2.532 1.751 1.340
Rh 6.513 2.345 0.259
Rh 3.107 5.789 2.196
Rh 6.147 5.732 2.387
Rh 5.726 4.408 4.911
Rh 4.494 1.624 5.015
Rh 7.534 3.277 2.974
Pu 10.010 6.921 5.298
Pu 4.718 3.262 2.497
CELL_PARAMETERS angstrom
6.080 0.113 0.086
2.253 5.648 0.086
2.253 1.558 5.430
```

- Excess energy over the best structure of this formula in the dataset: 191 meV per atom
- Energy relative to the elements: -0.36 eV/atom
- Magnetic moment: 4.93 μB/f.u.

No. 4
A plane-wave DFT calculation with PBE was carried out for a relaxed Na3Cu2H9Pd crystal. Values from VASP.

Quantum ESPRESSO input file:
```
&SYSTEM
  ibrav = 0, nat = 15, ntyp = 4
/
ATOMIC_SPECIES
Na 22.99 Na.upf
H 1.01 H.upf
Cu 63.55 Cu.upf
Pd 106.42 Pd.upf
ATOMIC_POSITIONS angstrom
Na -1.674 -4.742 0.061
Na 0.000 0.000 0.000
Na -1.544 -2.120 -2.364
H -0.736 0.229 -2.387
H -0.828 -2.372 0.028
H -3.193 -2.863 -0.615
H 0.708 -4.227 0.688
H 0.807 -1.634 -1.724
H -2.389 -4.489 -2.330
H 1.543 -1.863 0.664
H -3.925 -2.635 -2.991
H -0.025 -3.999 -1.688
Cu -4.017 -3.960 -1.778
Cu 0.799 -2.902 -0.525
Pd -2.416 -1.797 0.572
CELL_PARAMETERS angstrom
-1.472 0.458 -4.774
3.086 -3.727 1.327
-4.832 -3.594 1.144
```

- Uncorrected energy: -3.2900 eV per atom
- Magnetic moment: 0.00 μB/f.u.

No. 5
A plane-wave DFT calculation with PBE was carried out for a relaxed AcTa4S8 crystal. Values from VASP.

Quantum ESPRESSO input file:
```
&SYSTEM
  ibrav = 0, nat = 13, ntyp = 3
/
ATOMIC_SPECIES
Ta 180.95 Ta.upf
S 32.06 S.upf
Ac 227.00 Ac.upf
ATOMIC_POSITIONS angstrom
Ta 0.000 0.000 0.000
Ta 1.059 2.792 -1.611
Ta -1.316 3.216 8.281
Ta 2.986 0.000 -1.611
S 0.118 4.205 0.218
S -2.350 4.615 6.454
S 5.079 1.393 -1.395
S 2.018 1.393 0.257
S 0.712 4.615 4.802
S 2.611 1.803 4.840
S 3.103 4.256 -1.396
S -0.374 1.752 6.454
Ac -1.622 3.004 4.140
CELL_PARAMETERS angstrom
5.973 0.000 -3.222
-3.855 5.585 0.000
0.612 0.423 8.281
```

- Excess energy over the best structure of this formula in the dataset: 0 meV per atom
- Magnetic moment: 0.00 μB/f.u.
- Uncorrected formation energy: -1186 meV per atom

No. 6
A plane-wave DFT calculation with PBE was carried out for a relaxed LiTh2Sn2 crystal. Values from VASP.

Quantum ESPRESSO input file:
```
&SYSTEM
  ibrav = 0, nat = 5, ntyp = 3
/
ATOMIC_SPECIES
Th 232.04 Th.upf
Li 6.94 Li.upf
Sn 118.71 Sn.upf
ATOMIC_POSITIONS angstrom
Th 3.737 4.263 5.366
Th 1.275 1.153 5.490
Li 2.622 2.672 2.330
Sn 0.209 1.260 2.338
Sn 4.804 4.157 8.518
CELL_PARAMETERS angstrom
4.079 0.000 1.737
1.165 5.345 2.922
-0.230 0.072 6.197
```

- Energy relative to the elements: -0.46 eV/atom
- Magnetic moment: 0.00 μB/f.u.